1.
La5HgAu2 | PBE | optimized geometry

Lattice parameters (Å, degrees): 8.975 8.975 8.975 123.10 123.10 84.72
Fractional positions:
La  0.000  0.000  0.000
La  0.011  0.511  0.816
La  0.195  0.011  0.500
La  0.305  0.805  0.816
La  0.489  0.305  0.500
La  0.500  0.500  0.000
La  0.511  0.695  0.500
La  0.695  0.195  0.184
La  0.805  0.989  0.500
La  0.989  0.489  0.184
Hg  0.250  0.250  0.000
Hg  0.750  0.750  0.000
Au  0.133  0.367  0.500
Au  0.367  0.867  0.234
Au  0.633  0.133  0.766
Au  0.867  0.633  0.500

Properties
magnetic moment	0.00	μB per cell
energy of formation from the pure elements	-0.530	eV per atom

---

2.
La2HgAu | PBE | optimized geometry

Lattice parameters (Å, degrees): 6.237 6.237 6.237 137.27 137.27 62.02
Fractional positions:
La  0.000  0.000  0.000
La  0.750  0.250  0.500
Hg  0.500  0.500  0.000
Au  0.250  0.750  0.500

Properties
magnetic moment	0.00	μB per cell
energy of formation from the pure elements	-0.498	eV per atom

---

3.
La4Hg3Au2 | PBE | optimized geometry

Lattice parameters (Å, degrees): 5.275 5.275 10.292 90.00 90.00 120.00
Fractional positions:
La  0.000  0.000  0.164
La  0.000  0.000  0.836
La  0.333  0.667  0.380
La  0.667  0.333  0.620
Hg  0.000  0.000  0.500
Hg  0.333  0.667  0.000
Hg  0.667  0.333  0.000
Au  0.333  0.667  0.686
Au  0.667  0.333  0.314

Properties
magnetic moment	0.00	μB per cell
energy of formation from the pure elements	-0.584	eV per atom